Arrangement A

Compound: HfZrAsO
Source: the Open Quantum Materials Database
Functional: GGA-PBE
Structure: relaxed

The structure in POSCAR format:
```
HfZrAsO
1.0
-1.746 -2.097 2.597
-2.644 -4.330 -5.275
4.512 -3.252 0.408
As Hf O Zr
2 2 2 2
direct
0.000 0.871 0.448
0.000 0.129 0.948
0.500 0.609 0.482
0.500 0.391 0.982
0.500 0.335 0.349
0.500 0.665 0.849
0.000 0.244 0.475
0.000 0.756 0.975
```

Arrangement B

Compound: HfZrAsO
Source: the Open Quantum Materials Database
Functional: GGA-PBE
Structure: relaxed

The structure in POSCAR format:
```
HfZrAsO
1.0
-3.827 0.462 -0.398
-0.593 -2.243 3.104
0.314 7.013 5.129
As Hf O Zr
2 2 2 2
direct
0.750 0.750 0.274
0.250 0.250 0.726
0.750 0.250 0.500
0.250 0.750 0.500
0.750 0.250 0.000
0.250 0.750 0.000
0.250 0.250 0.134
0.750 0.750 0.866
```

Arrangement C

Compound: HfZrAsO
Source: the Open Quantum Materials Database
Functional: GGA-PBE
Structure: relaxed

The structure in POSCAR format:
```
HfZrAsO
1.0
3.880 0.000 0.000
0.000 3.880 0.000
0.000 0.000 8.594
As Hf O Zr
2 2 2 2
direct
0.000 0.500 0.269
0.500 0.000 0.731
0.500 0.000 0.129
0.000 0.500 0.871
0.000 0.000 0.000
0.500 0.500 0.000
0.000 0.000 0.500
0.500 0.500 0.500
```

Stability summary: most stable arrangement C, least stable arrangement A.

Arrangement A

Compound: Hf3As4Pd4
Source: the Open Quantum Materials Database
Functional: GGA-PBE
Structure: relaxed

The structure in POSCAR format:
```
Hf3As4Pd4
1.0
1.194 -4.708 -3.712
5.236 -1.026 2.985
0.359 -6.543 3.381
As Hf Pd
4 3 4
direct
0.500 0.000 0.000
0.000 0.500 0.000
0.752 0.752 0.496
0.248 0.248 0.504
0.500 0.500 0.000
0.750 0.250 0.500
0.250 0.750 0.500
0.625 0.123 0.252
0.123 0.625 0.252
0.375 0.375 0.748
0.877 0.877 0.748
```

Arrangement B

Compound: Hf3As4Pd4
Source: the Open Quantum Materials Database
Functional: GGA-PBE
Structure: relaxed

The structure in POSCAR format:
```
Hf3As4Pd4
1.0
6.585 0.000 -0.033
0.000 3.924 0.000
-0.037 0.000 7.721
As Hf Pd
4 3 4
direct
0.232 0.250 0.116
0.746 0.250 0.377
0.257 0.750 0.628
0.782 0.750 0.879
0.963 0.750 0.185
0.458 0.750 0.313
0.540 0.250 0.692
0.640 0.250 0.062
0.153 0.250 0.441
0.856 0.750 0.565
0.371 0.750 0.939
```

Stability summary: most stable arrangement B, least stable arrangement A.